Record 1
# Pu3Sc5O12, optimized geometry, DFT PBE
data_Pu3Sc5O12
_cell_length_a 13.021
_cell_length_b 13.021
_cell_length_c 13.021
_cell_angle_alpha 90.00
_cell_angle_beta 90.00
_cell_angle_gamma 90.00
_space_group_name_H-M_alt 'I a -3 d'
_space_group_IT_number 230
_space_group_name_Hall '-I 4bd 2c 3'
loop_
_atom_site_label
_atom_site_type_symbol
_atom_site_fract_x
_atom_site_fract_y
_atom_site_fract_z
_atom_site_occupancy
Pu1 Pu 0.000 0.250 0.125 1
Sc1 Sc 0.000 0.000 0.000 1
Sc2 Sc 0.000 0.250 0.375 1
O1 O 0.026 0.059 0.651 1
# Energy relative to the elements, uncorrected: -3236 meV per atom
# DOS at the Fermi energy: 1.3387 states/eV per atom
# Total magnetic moment: 15.00 μB per formula unit
# E_tot: -9.94 eV per atom

***

Record 2
# MgSi3Rh, optimized geometry, DFT PBE
data_MgSi3Rh
_cell_length_a 4.661
_cell_length_b 4.661
_cell_length_c 4.661
_cell_angle_alpha 90.00
_cell_angle_beta 90.00
_cell_angle_gamma 90.00
_space_group_name_H-M_alt 'P m -3 m'
_space_group_IT_number 221
_space_group_name_Hall '-P 4 2 3'
loop_
_atom_site_label
_atom_site_type_symbol
_atom_site_fract_x
_atom_site_fract_y
_atom_site_fract_z
_atom_site_occupancy
Mg1 Mg 0.000 0.000 0.000 1
Si1 Si 0.000 0.500 0.500 1
Rh1 Rh 0.500 0.500 0.500 1
# Energy relative to the elements, uncorrected: 331 meV per atom
# DOS at the Fermi energy: 0.6185 states/eV per atom
# Total magnetic moment: 0.00 μB per formula unit
# E_tot: -4.71 eV per atom

***

Record 3
# Np2Ni3Ge4Pd, optimized geometry, DFT PBE
data_Np2Ni3Ge4Pd
_cell_length_a 4.133
_cell_length_b 4.133
_cell_length_c 9.814
_cell_angle_alpha 90.00
_cell_angle_beta 90.00
_cell_angle_gamma 90.00
_space_group_name_H-M_alt 'P -4 m 2'
_space_group_IT_number 115
loop_
_space_group_symop_operation_xyz
'x,y,z'
'y,-x,-z'
'-x,-y,z'
'-y,x,-z'
'-x,y,z'
'-y,-x,-z'
'x,-y,z'
'y,x,-z'
loop_
_atom_site_label
_atom_site_type_symbol
_atom_site_fract_x
_atom_site_fract_y
_atom_site_fract_z
_atom_site_occupancy
Np1 Np 0.000 0.500 0.244 1
Ni1 Ni 0.000 0.500 0.879 1
Ni2 Ni 0.500 0.500 0.500 1
Ge1 Ge 0.000 0.000 0.000 1
Ge2 Ge 0.000 0.500 0.642 1
Ge3 Ge 0.500 0.500 0.000 1
Pd1 Pd 0.000 0.000 0.500 1
# Energy of formation from the pure elements: -37 kJ per mole of atoms
# DOS at the Fermi energy: 2.2709 states/eV per atom
# Total magnetic moment: 7.86 μB per formula unit
# E_tot: -7.07 eV per atom

***

Record 4
# Mg3Au4, optimized geometry, DFT PBE
data_Mg3Au4
_cell_length_a 12.4005
_cell_length_b 12.4005
_cell_length_c 5.6849
_cell_angle_alpha 90.00
_cell_angle_beta 90.00
_cell_angle_gamma 120.00
_space_group_name_H-M_alt 'R -3'
_space_group_IT_number 148
_space_group_name_Hall '-R 3'
loop_
_atom_site_label
_atom_site_type_symbol
_atom_site_fract_x
_atom_site_fract_y
_atom_site_fract_z
_atom_site_occupancy
Mg1 Mg 0.0473 0.2278 0.1955 1
Au1 Au 0.0000 0.0000 0.0000 1
Au2 Au 0.0000 0.0000 0.5000 1
Au3 Au 0.0516 0.2547 0.6868 1
# Energy of formation from the pure elements: -53 kJ per mole of atoms
# DOS at the Fermi energy: 0.2824 states/eV per atom
# Total magnetic moment: 0.00 μB per formula unit
# E_tot: -3.11 eV per atom

***

Record 5
# Sr3Rh5Pb6, optimized geometry, DFT PBE
data_Sr3Rh5Pb6
_cell_length_a 4.559
_cell_length_b 14.341
_cell_length_c 10.273
_cell_angle_alpha 90.00
_cell_angle_beta 90.00
_cell_angle_gamma 90.00
_space_group_name_H-M_alt 'P m m n'
_space_group_IT_number 59
loop_
_space_group_symop_operation_xyz
'x,y,z'
'-x,-y,-z'
'-x+1/2,-y+1/2,z'
'x+1/2,y+1/2,-z'
'x+1/2,-y,-z'
'-x+1/2,y,z'
'-x,y+1/2,-z'
'x,-y+1/2,z'
loop_
_atom_site_label
_atom_site_type_symbol
_atom_site_fract_x
_atom_site_fract_y
_atom_site_fract_z
_atom_site_occupancy
Sr1 Sr 0.250 0.052 0.250 1
Sr2 Sr 0.250 0.750 0.225 1
Rh1 Rh 0.250 0.094 0.638 1
Rh2 Rh 0.250 0.642 0.951 1
Rh3 Rh 0.250 0.750 0.707 1
Pb1 Pb 0.250 0.068 0.912 1
Pb2 Pb 0.250 0.250 0.106 1
Pb3 Pb 0.250 0.250 0.468 1
Pb4 Pb 0.250 0.591 0.517 1
# Energy of formation from the pure elements: -28 kJ per mole of atoms
# DOS at the Fermi energy: 0.6312 states/eV per atom
# Total magnetic moment: 0.00 μB per formula unit
# E_tot: -4.87 eV per atom

***

Record 6
# Li3SmSn3, optimized geometry, DFT PBE
data_Li3SmSn3
_cell_length_a 7.111
_cell_length_b 7.111
_cell_length_c 7.111
_cell_angle_alpha 90.00
_cell_angle_beta 90.00
_cell_angle_gamma 90.00
_space_group_name_H-M_alt 'P m -3 n'
_space_group_IT_number 223
_space_group_name_Hall '-P 4n 2 3'
loop_
_atom_site_label
_atom_site_type_symbol
_atom_site_fract_x
_atom_site_fract_y
_atom_site_fract_z
_atom_site_occupancy
Li1 Li 0.000 0.250 0.500 1
Sm1 Sm 0.000 0.000 0.000 1
Sn1 Sn 0.000 0.500 0.250 1
# Energy of formation from the pure elements: 14 kJ per mole of atoms
# DOS at the Fermi energy: 0.9430 states/eV per atom
# Total magnetic moment: 0.00 μB per formula unit
# E_tot: -3.06 eV per atom

***

Record 7
# ScHSe3, optimized geometry, DFT PBE
data_ScHSe3
_cell_length_a 4.415
_cell_length_b 4.415
_cell_length_c 4.415
_cell_angle_alpha 90.00
_cell_angle_beta 90.00
_cell_angle_gamma 90.00
_space_group_name_H-M_alt 'P m -3 m'
_space_group_IT_number 221
_space_group_name_Hall '-P 4 2 3'
loop_
_atom_site_label
_atom_site_type_symbol
_atom_site_fract_x
_atom_site_fract_y
_atom_site_fract_z
_atom_site_occupancy
Sc1 Sc 0.000 0.000 0.000 1
H1 H 0.500 0.500 0.500 1
Se1 Se 0.000 0.500 0.500 1
# DOS at the Fermi energy: 0.7171 states/eV per atom
# Total magnetic moment: 0.00 μB per formula unit
# E_tot: -3.98 eV per atom

***

Record 8
# Er3B2AsRh9, optimized geometry, DFT PBE
data_Er3B2AsRh9
_cell_length_a 6.0803
_cell_length_b 6.0803
_cell_length_c 7.4982
_cell_angle_alpha 90.00
_cell_angle_beta 90.00
_cell_angle_gamma 120.00
_space_group_name_H-M_alt 'P -3 m 1'
_space_group_IT_number 164
_space_group_name_Hall '-P 3 2"'
loop_
_atom_site_label
_atom_site_type_symbol
_atom_site_fract_x
_atom_site_fract_y
_atom_site_fract_z
_atom_site_occupancy
Er1 Er 0.0000 0.0000 0.0000 1
Er2 Er 0.3333 0.6667 0.6697 1
B1 B 0.3333 0.6667 0.1455 1
As1 As 0.0000 0.0000 0.5000 1
Rh1 Rh 0.0000 0.5000 0.0000 1
Rh2 Rh 0.1770 0.3540 0.3164 1
# Energy of formation from the pure elements: -70 kJ per mole of atoms
# DOS at the Fermi energy: 0.6921 states/eV per atom
# Total magnetic moment: 0.00 μB per formula unit
# E_tot: -7.25 eV per atom

***

> total magnetic moment of number 8 (Er3B2AsRh9)?

0.00 μB per formula unit